Fe3Bi5Au after structural relaxation, computed with PBE-GGA. Values from VASP.

Mass density = 10.9 g/cm3
Uncorrected energy = -0.190 hartree per atom

```
&SYSTEM
  ibrav = 0, nat = 9, ntyp = 3
/
ATOMIC_SPECIES
Fe 55.84 Fe.upf
Bi 208.98 Bi.upf
Au 196.97 Au.upf
CELL_PARAMETERS angstrom
5.463 0.000 0.000
-2.731 4.731 0.000
0.000 0.000 8.318
ATOMIC_POSITIONS angstrom
Fe -1.366 2.365 4.159
Fe 2.731 0.000 4.159
Fe 1.366 2.365 4.159
Bi 0.000 0.000 4.159
Bi 0.000 3.154 1.780
Bi 0.000 3.154 6.538
Bi 2.731 1.577 6.538
Bi 2.731 1.577 1.780
Au 0.000 0.000 0.000
```


Zn2Tc after structural relaxation, computed with PBE-GGA. Values from VASP.

Mass density = 9.2 g/cm3
Energy of formation = 115 meV/atom
Uncorrected energy = -0.154 hartree per atom
Energy above the lowest structure with this stoichiometry = 94 meV/atom

```
&SYSTEM
  ibrav = 0, nat = 6, ntyp = 2
/
ATOMIC_SPECIES
Tc 98.00 Tc.upf
Zn 65.41 Zn.upf
CELL_PARAMETERS angstrom
0.000 3.452 3.452
3.452 0.000 3.452
3.452 3.452 0.000
ATOMIC_POSITIONS angstrom
Tc 0.000 0.000 0.000
Tc 1.726 1.726 1.726
Zn 4.314 4.314 4.314
Zn 2.589 4.314 2.589
Zn 2.589 2.589 4.314
Zn 4.314 2.589 2.589
```


GdYTm6 after structural relaxation, computed with PBE-GGA. Values from VASP.

Mass density = 8.5 g/cm3
Energy of formation = 2 meV/atom
Uncorrected energy = -0.174 hartree per atom

```
&SYSTEM
  ibrav = 0, nat = 8, ntyp = 3
/
ATOMIC_SPECIES
Tm 168.93 Tm.upf
Y 88.91 Y.upf
Gd 157.25 Gd.upf
CELL_PARAMETERS angstrom
7.157 0.000 0.000
-3.578 6.198 0.000
0.000 0.000 5.576
ATOMIC_POSITIONS angstrom
Tm -1.783 3.103 2.788
Tm 1.783 3.103 2.788
Tm 0.000 6.190 2.788
Tm 1.784 5.162 0.000
Tm -1.784 5.162 0.000
Tm 0.000 2.072 0.000
Y 3.578 2.066 0.000
Gd 0.000 0.000 2.788
```